(1)
The following is a DFT calculation (GGA-PBE) of K2MgMnBr6 after structural relaxation.

The structure in CIF format:
```
data_K2MgMnBr6
_symmetry_space_group_name_H-M 'P 1 21/c 1'
_symmetry_Int_Tables_number 14
_cell_length_a 7.409
_cell_length_b 7.587
_cell_length_c 12.926
_cell_angle_alpha 90.00
_cell_angle_beta 124.97
_cell_angle_gamma 90.00
loop_
_symmetry_equiv_pos_as_xyz
'x,y,z'
'-x,-y,-z'
'-x,y+1/2,-z+1/2'
'x,-y+1/2,z+1/2'
loop_
_atom_site_label
_atom_site_fract_x
_atom_site_fract_y
_atom_site_fract_z
K1 0.233 0.060 0.250
Mg1 0.500 0.000 0.000
Mn1 0.000 0.000 0.500
Br1 0.167 0.206 0.963
Br2 0.258 0.705 0.963
Br3 0.324 0.008 0.749
```

Summary:
- formation energy from raw total energies (eV per atom) = -1.36

***

(2)
The following is a DFT calculation (GGA-PBE) of KMg2MnBr8 after structural relaxation.

The structure in CIF format:
```
data_KMg2MnBr8
_symmetry_space_group_name_H-M 'P -1'
_symmetry_Int_Tables_number 2
_cell_length_a 6.567
_cell_length_b 6.732
_cell_length_c 9.272
_cell_angle_alpha 75.74
_cell_angle_beta 81.28
_cell_angle_gamma 77.33
loop_
_symmetry_equiv_pos_as_xyz
'x,y,z'
'-x,-y,-z'
loop_
_atom_site_label
_atom_site_fract_x
_atom_site_fract_y
_atom_site_fract_z
K1 0.000 0.000 0.000
Mg1 0.440 0.442 0.223
Mn1 0.000 0.000 0.500
Br1 0.172 0.744 0.714
Br2 0.258 0.222 0.477
Br3 0.262 0.786 0.291
Br4 0.328 0.326 0.011
```

Summary:
- formation energy from raw total energies (eV per atom) = -1.16

***

(3)
The following is a DFT calculation (GGA-PBE) of K2MgBrN after structural relaxation.

The structure in CIF format:
```
data_K2MgBrN
_symmetry_space_group_name_H-M 'P 4/m m m'
_symmetry_Int_Tables_number 123
_symmetry_space_group_name_Hall '-P 4 2'
_cell_length_a 6.838
_cell_length_b 6.838
_cell_length_c 5.539
_cell_angle_alpha 90.00
_cell_angle_beta 90.00
_cell_angle_gamma 90.00
loop_
_atom_site_label
_atom_site_fract_x
_atom_site_fract_y
_atom_site_fract_z
K1 0.000 0.500 0.000
Mg1 0.000 0.000 0.000
Br1 0.000 0.000 0.500
N1 0.500 0.500 0.500
```

Summary:
- formation energy from raw total energies (eV per atom) = 0.68

***

(4)
The following is a DFT calculation (GGA-PBE) of KNaMg2Br6 after structural relaxation.

The structure in CIF format:
```
data_KNaMg2Br6
_symmetry_space_group_name_H-M 'R 3'
_symmetry_Int_Tables_number 146
_symmetry_space_group_name_Hall 'R 3'
_cell_length_a 7.3895
_cell_length_b 7.3895
_cell_length_c 18.5829
_cell_angle_alpha 90.00
_cell_angle_beta 90.00
_cell_angle_gamma 120.00
loop_
_atom_site_label
_atom_site_fract_x
_atom_site_fract_y
_atom_site_fract_z
K1 0.0000 0.0000 0.0000
Na1 0.0000 0.0000 0.4745
Mg1 0.0000 0.0000 0.2645
Mg2 0.0000 0.0000 0.7698
Br1 0.0021 0.3989 0.5205
Br2 0.0059 0.5748 0.0223
```

Summary:
- formation energy from raw total energies (eV per atom) = -1.50

***

(5)
The following is a DFT calculation (GGA-PBE) of K2NaMgBr5 after structural relaxation.

The structure in CIF format:
```
data_K2NaMgBr5
_symmetry_space_group_name_H-M 'C m c 21'
_symmetry_Int_Tables_number 36
_cell_length_a 4.448
_cell_length_b 18.330
_cell_length_c 14.261
_cell_angle_alpha 90.00
_cell_angle_beta 90.00
_cell_angle_gamma 90.00
loop_
_symmetry_equiv_pos_as_xyz
'x,y,z'
'-x,-y,z+1/2'
'-x,y,z'
'x,-y,z+1/2'
'x+1/2,y+1/2,z'
'-x+1/2,-y+1/2,z+1/2'
'-x+1/2,y+1/2,z'
'x+1/2,-y+1/2,z+1/2'
loop_
_atom_site_label
_atom_site_fract_x
_atom_site_fract_y
_atom_site_fract_z
K1 0.000 0.107 0.000
K2 0.000 0.153 0.628
Na1 0.000 0.213 0.345
Mg1 0.000 0.472 0.761
Br1 0.000 0.046 0.355
Br2 0.000 0.281 0.980
Br3 0.000 0.331 0.707
Br4 0.000 0.381 0.313
Br5 0.000 0.488 0.090
```

Summary:
- formation energy from raw total energies (eV per atom) = -1.60

***

(6)
The following is a DFT calculation (GGA-PBE) of K3Na3MgBr8 after structural relaxation.

The structure in CIF format:
```
data_K3Na3MgBr8
_symmetry_space_group_name_H-M 'R -3 m'
_symmetry_Int_Tables_number 166
_symmetry_space_group_name_Hall '-R 3 2"'
_cell_length_a 8.6829
_cell_length_b 8.6829
_cell_length_c 22.8161
_cell_angle_alpha 90.00
_cell_angle_beta 90.00
_cell_angle_gamma 120.00
loop_
_atom_site_label
_atom_site_fract_x
_atom_site_fract_y
_atom_site_fract_z
K1 0.0000 0.5000 0.0000
Na1 0.0000 0.5000 0.5000
Mg1 0.0000 0.0000 0.5000
Br1 0.0000 0.0000 0.2407
Br2 0.0313 0.5156 0.2345
```

Summary:
- formation energy from raw total energies (eV per atom) = -1.61

***

(7)
The following is a DFT calculation (GGA-PBE) of KNdMg2Br8 after structural relaxation.

The structure in CIF format:
```
data_KNdMg2Br8
_symmetry_space_group_name_H-M 'P -1'
_symmetry_Int_Tables_number 2
_cell_length_a 6.637
_cell_length_b 6.924
_cell_length_c 8.550
_cell_angle_alpha 89.94
_cell_angle_beta 89.94
_cell_angle_gamma 88.94
loop_
_symmetry_equiv_pos_as_xyz
'x,y,z'
'-x,-y,-z'
loop_
_atom_site_label
_atom_site_fract_x
_atom_site_fract_y
_atom_site_fract_z
K1 0.000 0.000 0.000
Nd1 0.000 0.000 0.500
Mg1 0.500 0.500 0.238
Br1 0.258 0.814 0.729
Br2 0.258 0.815 0.271
Br3 0.276 0.338 0.500
Br4 0.286 0.361 0.000
```

Summary:
- formation energy from raw total energies (eV per atom) = -1.57

***

(8)
The following is a DFT calculation (GGA-PBE) of K2MgNiBr6 after structural relaxation.

The structure in CIF format:
```
data_K2MgNiBr6
_symmetry_space_group_name_H-M 'R -3 m'
_symmetry_Int_Tables_number 166
_symmetry_space_group_name_Hall '-R 3 2"'
_cell_length_a 7.4388
_cell_length_b 7.4388
_cell_length_c 37.4556
_cell_angle_alpha 90.00
_cell_angle_beta 90.00
_cell_angle_gamma 120.00
loop_
_atom_site_label
_atom_site_fract_x
_atom_site_fract_y
_atom_site_fract_z
K1 0.0000 0.0000 0.1207
K2 0.0000 0.0000 0.2982
Mg1 0.0000 0.0000 0.4160
Ni1 0.0000 0.0000 0.0000
Ni2 0.0000 0.0000 0.5000
Br1 0.0085 0.5042 0.7067
Br2 0.0112 0.5056 0.1259
```

Summary:
- formation energy from raw total energies (eV per atom) = -1.19

***

(9)
The following is a DFT calculation (GGA-PBE) of KMg2NpBr8 after structural relaxation.

The structure in CIF format:
```
data_KMg2NpBr8
_symmetry_space_group_name_H-M 'P -1'
_symmetry_Int_Tables_number 2
_cell_length_a 6.876
_cell_length_b 6.915
_cell_length_c 9.343
_cell_angle_alpha 80.11
_cell_angle_beta 81.17
_cell_angle_gamma 80.79
loop_
_symmetry_equiv_pos_as_xyz
'x,y,z'
'-x,-y,-z'
loop_
_atom_site_label
_atom_site_fract_x
_atom_site_fract_y
_atom_site_fract_z
K1 0.000 0.000 0.000
Mg1 0.463 0.450 0.210
Np1 0.000 0.000 0.500
Br1 0.178 0.725 0.735
Br2 0.215 0.768 0.280
Br3 0.308 0.249 0.457
Br4 0.357 0.300 0.007
```

Summary:
- formation energy from raw total energies (eV per atom) = -1.41

***

(10)
The following is a DFT calculation (GGA-PBE) of KMgNpBr6 after structural relaxation.

The structure in CIF format:
```
data_KMgNpBr6
_symmetry_space_group_name_H-M 'P -3 1 c'
_symmetry_Int_Tables_number 163
_symmetry_space_group_name_Hall '-P 3 2c'
_cell_length_a 7.3061
_cell_length_b 7.3061
_cell_length_c 14.4328
_cell_angle_alpha 90.00
_cell_angle_beta 90.00
_cell_angle_gamma 120.00
loop_
_atom_site_label
_atom_site_fract_x
_atom_site_fract_y
_atom_site_fract_z
K1 0.0000 0.0000 0.0000
Mg1 0.3333 0.6667 0.2500
Np1 0.3333 0.6667 0.7500
Br1 0.0197 0.3792 0.1402
```

Summary:
- formation energy from raw total energies (eV per atom) = -1.47

***

(11)
The following is a DFT calculation (GGA-PBE) of KMgPb2Br after structural relaxation.

The structure in CIF format:
```
data_KMgPb2Br
_symmetry_space_group_name_H-M 'P 4/m m m'
_symmetry_Int_Tables_number 123
_symmetry_space_group_name_Hall '-P 4 2'
_cell_length_a 5.881
_cell_length_b 5.881
_cell_length_c 5.809
_cell_angle_alpha 90.00
_cell_angle_beta 90.00
_cell_angle_gamma 90.00
loop_
_atom_site_label
_atom_site_fract_x
_atom_site_fract_y
_atom_site_fract_z
K1 0.000 0.000 0.000
Mg1 0.500 0.500 0.000
Pb1 0.000 0.500 0.500
Br1 0.000 0.000 0.500
```

Summary:
- formation energy from raw total energies (eV per atom) = 0.12

***

(12)
The following is a DFT calculation (GGA-PBE) of K2MgPbBr6 after structural relaxation.

The structure in CIF format:
```
data_K2MgPbBr6
_symmetry_space_group_name_H-M 'P 1 21/c 1'
_symmetry_Int_Tables_number 14
_cell_length_a 7.636
_cell_length_b 8.007
_cell_length_c 13.354
_cell_angle_alpha 90.00
_cell_angle_beta 124.60
_cell_angle_gamma 90.00
loop_
_symmetry_equiv_pos_as_xyz
'x,y,z'
'-x,-y,-z'
'-x,y+1/2,-z+1/2'
'x,-y+1/2,z+1/2'
loop_
_atom_site_label
_atom_site_fract_x
_atom_site_fract_y
_atom_site_fract_z
K1 0.221 0.077 0.248
Mg1 0.000 0.000 0.500
Pb1 0.500 0.000 0.000
Br1 0.123 0.213 0.944
Br2 0.237 0.684 0.947
Br3 0.341 0.027 0.734
```

Summary:
- formation energy from raw total energies (eV per atom) = -1.41

***

(13)
The following is a DFT calculation (GGA-PBE) of KMgPdBr2 after structural relaxation.

The structure in CIF format:
```
data_KMgPdBr2
_symmetry_space_group_name_H-M 'P 4/m m m'
_symmetry_Int_Tables_number 123
_symmetry_space_group_name_Hall '-P 4 2'
_cell_length_a 5.026
_cell_length_b 5.026
_cell_length_c 11.112
_cell_angle_alpha 90.00
_cell_angle_beta 90.00
_cell_angle_gamma 90.00
loop_
_atom_site_label
_atom_site_fract_x
_atom_site_fract_y
_atom_site_fract_z
K1 0.000 0.000 0.000
Mg1 0.000 0.000 0.500
Pd1 0.500 0.500 0.000
Br1 0.000 0.500 0.500
```

Summary:
- formation energy from raw total energies (eV per atom) = -0.25

***

(14)
The following is a DFT calculation (GGA-PBE) of KPmMgBr6 after structural relaxation.

The structure in CIF format:
```
data_KPmMgBr6
_symmetry_space_group_name_H-M 'P -3 1 c'
_symmetry_Int_Tables_number 163
_symmetry_space_group_name_Hall '-P 3 2c'
_cell_length_a 7.2757
_cell_length_b 7.2757
_cell_length_c 14.4865
_cell_angle_alpha 90.00
_cell_angle_beta 90.00
_cell_angle_gamma 120.00
loop_
_atom_site_label
_atom_site_fract_x
_atom_site_fract_y
_atom_site_fract_z
K1 0.0000 0.0000 0.0000
Pm1 0.3333 0.6667 0.2500
Mg1 0.3333 0.6667 0.7500
Br1 0.0184 0.3800 0.6396
```

Summary:
- formation energy from raw total energies (eV per atom) = -1.73

***

(15)
The following is a DFT calculation (GGA-PBE) of KPrMgBr6 after structural relaxation.

The structure in CIF format:
```
data_KPrMgBr6
_symmetry_space_group_name_H-M 'P -3 1 c'
_symmetry_Int_Tables_number 163
_symmetry_space_group_name_Hall '-P 3 2c'
_cell_length_a 7.3439
_cell_length_b 7.3439
_cell_length_c 14.4083
_cell_angle_alpha 90.00
_cell_angle_beta 90.00
_cell_angle_gamma 120.00
loop_
_atom_site_label
_atom_site_fract_x
_atom_site_fract_y
_atom_site_fract_z
K1 0.0000 0.0000 0.0000
Pr1 0.3333 0.6667 0.2500
Mg1 0.3333 0.6667 0.7500
Br1 0.0225 0.3815 0.6387
```

Summary:
- formation energy from raw total energies (eV per atom) = -1.72

***

(16)
The following is a DFT calculation (GGA-PBE) of K2PuMgBr6 after structural relaxation.

The structure in CIF format:
```
data_K2PuMgBr6
_symmetry_space_group_name_H-M 'R 3'
_symmetry_Int_Tables_number 146
_symmetry_space_group_name_Hall 'R 3'
_cell_length_a 7.8377
_cell_length_b 7.8377
_cell_length_c 19.4510
_cell_angle_alpha 90.00
_cell_angle_beta 90.00
_cell_angle_gamma 120.00
loop_
_atom_site_label
_atom_site_fract_x
_atom_site_fract_y
_atom_site_fract_z
K1 0.0000 0.0000 0.0000
K2 0.0000 0.0000 0.4998
Pu1 0.0000 0.0000 0.7241
Mg1 0.0000 0.0000 0.2232
Br1 0.0120 0.4220 0.9658
Br2 0.0928 0.7357 0.8059
```

Summary:
- formation energy from raw total energies (eV per atom) = -1.53

***

(17)
The following is a DFT calculation (GGA-PBE) of KPu2MgBr8 after structural relaxation.

The structure in CIF format:
```
data_KPu2MgBr8
_symmetry_space_group_name_H-M 'P 1 2/m 1'
_symmetry_Int_Tables_number 10
_cell_length_a 6.757
_cell_length_b 8.978
_cell_length_c 7.009
_cell_angle_alpha 90.00
_cell_angle_beta 92.75
_cell_angle_gamma 90.00
loop_
_symmetry_equiv_pos_as_xyz
'x,y,z'
'-x,-y,-z'
'-x,y,-z'
'x,-y,z'
loop_
_atom_site_label
_atom_site_fract_x
_atom_site_fract_y
_atom_site_fract_z
K1 0.000 0.000 0.000
Pu1 0.500 0.258 0.500
Mg1 0.000 0.500 0.000
Br1 0.230 0.289 0.160
Br2 0.258 0.500 0.668
Br3 0.274 0.000 0.633
```

Summary:
- formation energy from raw total energies (eV per atom) = -1.51

***

(18)
The following is a DFT calculation (GGA-PBE) of KPuMg2Br8 after structural relaxation.

The structure in CIF format:
```
data_KPuMg2Br8
_symmetry_space_group_name_H-M 'P -1'
_symmetry_Int_Tables_number 2
_cell_length_a 6.669
_cell_length_b 6.886
_cell_length_c 8.479
_cell_angle_alpha 89.91
_cell_angle_beta 89.90
_cell_angle_gamma 89.07
loop_
_symmetry_equiv_pos_as_xyz
'x,y,z'
'-x,-y,-z'
loop_
_atom_site_label
_atom_site_fract_x
_atom_site_fract_y
_atom_site_fract_z
K1 0.000 0.000 0.000
Pu1 0.000 0.000 0.500
Mg1 0.499 0.499 0.239
Br1 0.260 0.818 0.726
Br2 0.261 0.818 0.274
Br3 0.274 0.338 0.500
Br4 0.286 0.362 0.000
```

Summary:
- formation energy from raw total energies (eV per atom) = -1.45

***

(19)
The following is a DFT calculation (GGA-PBE) of KRbMgBr4 after structural relaxation.

The structure in CIF format:
```
data_KRbMgBr4
_symmetry_space_group_name_H-M 'P 1 21/m 1'
_symmetry_Int_Tables_number 11
_cell_length_a 7.769
_cell_length_b 7.687
_cell_length_c 9.501
_cell_angle_alpha 90.00
_cell_angle_beta 108.12
_cell_angle_gamma 90.00
loop_
_symmetry_equiv_pos_as_xyz
'x,y,z'
'-x,-y,-z'
'-x,y+1/2,-z'
'x,-y+1/2,z'
loop_
_atom_site_label
_atom_site_fract_x
_atom_site_fract_y
_atom_site_fract_z
K1 0.218 0.250 0.055
Rb1 0.269 0.250 0.565
Mg1 0.236 0.750 0.809
Br1 0.014 0.000 0.754
Br2 0.424 0.750 0.638
Br3 0.425 0.750 0.075
```

Summary:
- formation energy from raw total energies (eV per atom) = -1.64